## Na4Tl4Cd (PBE)

Data for an optimized crystal structure of Na4Tl4Cd.

abc: 5.003 7.535 7.535
angles: 83.67 70.61 70.61
Sites, in units of the cell vectors:
Na1 0.166 0.169 0.000
Na2 0.834 0.831 0.000
Na3 0.835 0.500 0.331
Na4 0.165 0.500 0.669
Tl1 0.500 0.170 0.331
Tl2 0.500 0.830 0.669
Tl3 0.170 0.831 0.330
Tl4 0.830 0.169 0.670
Cd1 0.500 0.500 0.000

Summary:
formation energy = -97 meV/atom
calculated density = 6.7 g/cm³
space group = I4/mmm
raw total energy = -1.836 eV/atom